Record 1
PBE Ce5Si2C2, relaxed; raw formation energy = -0.27 eV per atom; M_tot = 6.91 μB/cell; theoretical density = 6.00 g cm⁻³; symmetry = Ima2 (46)
1.0
-1.0675 -6.6690 -3.1674
2.4569 -2.8517 5.1762
-8.9500 4.3326 2.6784
Ce C Si
10 4 4
direct
0.2099 0.1114 0.2809
0.8632 0.1854 0.5000
0.5710 0.6114 0.2809
0.7720 0.2496 0.0425
0.1368 0.6854 0.5000
0.7705 0.7496 0.0425
0.2280 0.2071 0.9575
0.4290 0.3304 0.7191
0.2295 0.7071 0.9575
0.7901 0.8304 0.7191
0.5000 0.4788 0.0000
0.0000 0.9788 0.0000
0.1602 0.3102 0.5000
0.8398 0.8102 0.5000
0.4465 0.8799 0.7966
0.8501 0.3799 0.7966
0.5535 0.0833 0.2034
0.1499 0.5833 0.2034

Record 2
PBE Ce5Si2C, relaxed; raw formation energy = -0.26 eV per atom; M_tot = 5.47 μB/cell; theoretical density = 7.11 g cm⁻³; symmetry = Cmcm (63)
1.0
5.1222 0.0000 0.0000
-2.5611 4.7460 0.0000
0.0000 0.0000 14.7711
Ce C Si
10 2 4
direct
0.9171 0.8342 0.8812
0.0829 0.1658 0.3812
0.4161 0.8323 0.1191
0.0829 0.1658 0.1188
0.7490 0.4980 0.2500
0.5839 0.1677 0.8809
0.9171 0.8342 0.6188
0.5839 0.1677 0.6191
0.4161 0.8323 0.3809
0.2510 0.5020 0.7500
0.7508 0.5015 0.7500
0.2492 0.4985 0.2500
0.2503 0.5005 0.5566
0.7497 0.4995 0.4434
0.7497 0.4995 0.0566
0.2503 0.5005 0.9434